# 1
Density functional theory data (PBE) for crystalline CdTe2PbI at its relaxed geometry.

## Properties
* crystal system: tetragonal
* formation energy (no corrections): 0.113 eV per atom
* distance to the lowest polymorph of the same formula: 0.0 kJ/mol of formula units

Lattice parameters (Å, degrees): 5.619 5.619 5.841 90.00 90.00 90.00
Atoms (fractional coordinates):
Cd 0.000 0.000 0.000
Te 0.000 0.500 0.000
Te 0.500 0.000 0.000
Pb 0.500 0.500 0.500
I 0.000 0.000 0.500

# 2
Density functional theory data (PBE) for crystalline HoMnTc at its relaxed geometry.

## Properties
* crystal system: tetragonal
* distance to the lowest polymorph of the same formula: 62.3 kJ/mol of formula units
* energy of formation from the pure elements: 0.1269 eV per atom

Lattice parameters (Å, degrees): 5.907 5.907 5.907 149.61 149.61 43.52
Atoms (fractional coordinates):
Ho 0.000 0.000 0.000
Mn 0.304 0.304 0.000
Tc 0.698 0.698 0.000

# 3
Density functional theory data (PBE) for crystalline Ag2SbP2 at its relaxed geometry.

## Properties
* crystal system: tetragonal
* formation energy (no corrections): 0.337 eV per atom
* distance to the lowest polymorph of the same formula: 24.8 kJ/mol of formula units

Lattice parameters (Å, degrees): 5.862 5.862 5.862 134.81 134.81 65.83
Atoms (fractional coordinates):
Ag 0.250 0.750 0.500
Ag 0.750 0.250 0.500
Sb 0.000 0.000 0.000
P 0.391 0.391 0.000
P 0.609 0.609 0.000

# 4
Density functional theory data (PBE) for crystalline PrHo2Ga2 at its relaxed geometry.

## Properties
* crystal system: monoclinic
* distance to the lowest polymorph of the same formula: 42.0 kJ/mol of formula units
* energy of formation from the pure elements: -0.3608 eV per atom

Lattice parameters (Å, degrees): 5.396 4.334 11.711 90.00 93.98 90.00
Atoms (fractional coordinates):
Pr 0.172 0.250 0.238
Pr 0.828 0.750 0.762
Ho 0.244 0.750 0.475
Ho 0.357 0.250 0.889
Ho 0.643 0.750 0.111
Ho 0.756 0.250 0.525
Ga 0.138 0.750 0.024
Ga 0.273 0.250 0.645
Ga 0.727 0.750 0.355
Ga 0.862 0.250 0.976

# 5
Density functional theory data (PBE) for crystalline Ca3GaGe4 at its relaxed geometry.

## Properties
* crystal system: orthorhombic
* energy of formation from the pure elements: -0.3749 eV per atom

Lattice parameters (Å, degrees): 8.680 8.680 8.680 150.06 140.11 50.66
Atoms (fractional coordinates):
Ca 0.000 0.000 0.000
Ca 0.307 0.807 0.500
Ca 0.693 0.193 0.500
Ga 0.500 0.500 0.000
Ge 0.084 0.379 0.705
Ge 0.327 0.621 0.705
Ge 0.673 0.379 0.295
Ge 0.916 0.621 0.295

# 6
Density functional theory data (PBE) for crystalline Rb2TaAlI6 at its relaxed geometry.

## Properties
* crystal system: cubic
* formation energy (no corrections): -0.639 eV per atom

Lattice parameters (Å, degrees): 8.465 8.465 8.465 60.00 60.00 60.00
Atoms (fractional coordinates):
Rb 0.250 0.250 0.250
Rb 0.750 0.750 0.750
Ta 0.000 0.000 0.000
Al 0.500 0.500 0.500
I 0.238 0.238 0.762
I 0.238 0.762 0.238
I 0.238 0.762 0.762
I 0.762 0.238 0.238
I 0.762 0.238 0.762
I 0.762 0.762 0.238

# 7
Density functional theory data (PBE) for crystalline Tb2HoCu2 at its relaxed geometry.

## Properties
* crystal system: monoclinic
* distance to the lowest polymorph of the same formula: 10.3 kJ/mol of formula units
* energy of formation from the pure elements: -0.1414 eV per atom

Lattice parameters (Å, degrees): 6.211 6.211 10.014 117.09 117.09 44.01
Atoms (fractional coordinates):
Tb 0.038 0.038 0.192
Tb 0.181 0.181 0.590
Tb 0.819 0.819 0.410
Tb 0.962 0.962 0.808
Ho 0.311 0.311 0.149
Ho 0.689 0.689 0.851
Cu 0.375 0.375 0.920
Cu 0.445 0.445 0.585
Cu 0.555 0.555 0.415
Cu 0.625 0.625 0.080

# 8
Density functional theory data (PBE) for crystalline Li4Mg6Ag at its relaxed geometry.

## Properties
* crystal system: tetragonal
* energy of formation from the pure elements: 0.0158 eV per atom

Lattice parameters (Å, degrees): 8.276 8.276 8.276 140.17 140.17 57.59
Atoms (fractional coordinates):
Li 0.051 0.691 0.000
Li 0.309 0.309 0.360
Li 0.691 0.051 0.000
Li 0.949 0.949 0.640
Mg 0.000 0.500 0.500
Mg 0.134 0.134 0.620
Mg 0.486 0.866 0.000
Mg 0.500 0.000 0.500
Mg 0.514 0.514 0.380
Mg 0.866 0.486 0.000
Ag 0.500 0.500 0.000

# 9
Density functional theory data (PBE) for crystalline Ba2Zn2Hg at its relaxed geometry.

## Properties
* crystal system: tetragonal
* distance to the lowest polymorph of the same formula: 36.7 kJ/mol of formula units
* energy of formation from the pure elements: -0.1417 eV per atom

Lattice parameters (Å, degrees): 6.212 6.212 6.212 117.49 117.49 94.40
Atoms (fractional coordinates):
Ba 0.250 0.750 0.500
Ba 0.750 0.250 0.500
Zn 0.142 0.142 0.000
Zn 0.858 0.858 0.000
Hg 0.500 0.500 0.000

# 10
Density functional theory data (PBE) for crystalline Ho4GaSiS2 at its relaxed geometry.

## Properties
* crystal system: tetragonal
* formation energy (no corrections): -1.300 eV per atom

Lattice parameters (Å, degrees): 6.941 6.941 6.941 131.76 131.76 70.60
Atoms (fractional coordinates):
Ho 0.004 0.504 0.500
Ho 0.242 0.242 0.000
Ho 0.496 0.996 0.500
Ho 0.758 0.758 0.000
Ga 0.500 0.500 0.000
Si 0.750 0.250 0.500
S 0.000 0.000 0.000
S 0.250 0.750 0.500

# 11
Density functional theory data (PBE) for crystalline Ba2CaRu at its relaxed geometry.

## Properties
* crystal system: orthorhombic
* distance to the lowest polymorph of the same formula: 21.3 kJ/mol of formula units
* energy of formation from the pure elements: 0.3230 eV per atom

Lattice parameters (Å, degrees): 7.554 7.554 7.554 150.78 132.89 56.40
Atoms (fractional coordinates):
Ba 0.000 0.000 0.000
Ba 0.675 0.175 0.500
Ca 0.335 0.835 0.500
Ru 0.498 0.498 0.000

# 12
Density functional theory data (PBE) for crystalline CoCuSnGe2 at its relaxed geometry.

## Properties
* crystal system: tetragonal
* energy of formation from the pure elements: 1.3559 eV per atom

Lattice parameters (Å, degrees): 5.312 5.312 4.735 90.00 90.00 90.00
Atoms (fractional coordinates):
Co 0.000 0.000 0.000
Cu 0.500 0.500 0.000
Sn 0.500 0.500 0.500
Ge 0.000 0.500 0.500
Ge 0.500 0.000 0.500

# 13
Density functional theory data (PBE) for crystalline Be4CuSi at its relaxed geometry.

## Properties
* crystal system: cubic
* formation energy (no corrections): 0.101 eV per atom

Lattice parameters (Å, degrees): 4.308 4.308 4.308 60.00 60.00 60.00
Atoms (fractional coordinates):
Be 0.125 0.125 0.125
Be 0.125 0.125 0.626
Be 0.125 0.626 0.125
Be 0.626 0.125 0.125
Cu 0.750 0.750 0.750
Si 0.500 0.500 0.500

# 14
Density functional theory data (PBE) for crystalline SrMg3C at its relaxed geometry.

## Properties
* crystal system: cubic
* distance to the lowest polymorph of the same formula: 832.8 kJ/mol of formula units
* energy of formation from the pure elements: 2.1688 eV per atom

Lattice parameters (Å, degrees): 6.813 6.813 6.813 90.00 90.00 90.00
Atoms (fractional coordinates):
Sr 0.000 0.000 0.000
Mg 0.000 0.000 0.500
Mg 0.000 0.500 0.000
Mg 0.500 0.000 0.000
C 0.500 0.500 0.500

# 15
Density functional theory data (PBE) for crystalline KZnSe2 at its relaxed geometry.

## Properties
* crystal system: monoclinic
* formation energy (no corrections): -0.633 eV per atom

Lattice parameters (Å, degrees): 7.937 7.937 4.796 90.87 90.87 24.75
Atoms (fractional coordinates):
K 0.000 0.000 0.000
Zn 0.765 0.765 0.500
Se 0.374 0.374 0.496
Se 0.615 0.615 0.505

# 16
Density functional theory data (PBE) for crystalline CaSbW2 at its relaxed geometry.

## Properties
* crystal system: tetragonal
* formation energy (no corrections): 1.038 eV per atom

Lattice parameters (Å, degrees): 2.919 2.919 9.570 90.00 90.00 90.00
Atoms (fractional coordinates):
Ca 0.000 0.000 0.000
Sb 0.000 0.000 0.500
W 0.500 0.500 0.269
W 0.500 0.500 0.731

# 17
Density functional theory data (PBE) for crystalline ScAlCd at its relaxed geometry.

## Properties
* crystal system: monoclinic
* energy of formation from the pure elements: -0.2501 eV per atom

Lattice parameters (Å, degrees): 5.198 5.198 6.041 101.49 101.49 49.79
Atoms (fractional coordinates):
Sc 0.000 0.000 0.000
Sc 0.664 0.664 0.351
Al 0.336 0.336 0.181
Al 0.984 0.984 0.477
Cd 0.338 0.338 0.671
Cd 0.674 0.674 0.852

# 18
Density functional theory data (PBE) for crystalline LiMg2Zn2 at its relaxed geometry.

## Properties
* crystal system: tetragonal
* distance to the lowest polymorph of the same formula: 14.7 kJ/mol of formula units
* energy of formation from the pure elements: -0.0844 eV per atom

Lattice parameters (Å, degrees): 7.715 7.715 3.192 90.00 90.00 90.00
Atoms (fractional coordinates):
Li 0.000 0.000 0.000
Li 0.500 0.500 0.000
Mg 0.177 0.323 0.500
Mg 0.323 0.823 0.500
Mg 0.677 0.177 0.500
Mg 0.823 0.677 0.500
Zn 0.120 0.620 0.000
Zn 0.380 0.120 0.000
Zn 0.620 0.880 0.000
Zn 0.880 0.380 0.000

# 19
Density functional theory data (PBE) for crystalline Mn2AsH at its relaxed geometry.

## Properties
* crystal system: cubic
* distance to the lowest polymorph of the same formula: 130.2 kJ/mol of formula units

Lattice parameters (Å, degrees): 3.969 3.969 3.969 60.00 60.00 60.00
Atoms (fractional coordinates):
Mn 0.250 0.250 0.250
Mn 0.750 0.750 0.750
As 0.000 0.000 0.000
H 0.500 0.500 0.500

# 20
Density functional theory data (PBE) for crystalline K2MnBe at its relaxed geometry.

## Properties
* crystal system: orthorhombic
* energy of formation from the pure elements: 0.8166 eV per atom

Lattice parameters (Å, degrees): 6.248 6.248 6.248 139.11 121.85 73.52
Atoms (fractional coordinates):
K 0.000 0.000 0.000
K 0.680 0.180 0.500
Mn 0.307 0.807 0.500
Be 0.374 0.374 0.000

# 21
Density functional theory data (PBE) for crystalline LaMgCl2 at its relaxed geometry.

## Properties
* crystal system: tetragonal
* formation energy (no corrections): -1.101 eV per atom
* distance to the lowest polymorph of the same formula: 90.8 kJ/mol of formula units

Lattice parameters (Å, degrees): 4.746 4.746 4.280 90.00 90.00 90.00
Atoms (fractional coordinates):
La 0.000 0.000 0.000
Mg 0.500 0.500 0.000
Cl 0.000 0.500 0.500
Cl 0.500 0.000 0.500

# 22
Density functional theory data (PBE) for crystalline Rb2NdPuS4 at its relaxed geometry.

## Properties
* crystal system: monoclinic
* formation energy (no corrections): -1.678 eV per atom

Lattice parameters (Å, degrees): 7.270 4.192 8.053 90.00 107.54 90.00
Atoms (fractional coordinates):
Rb 0.000 0.000 0.000
Rb 0.500 0.500 0.000
Nd 0.000 0.500 0.500
Pu 0.500 0.000 0.500
S 0.236 0.000 0.697
S 0.275 0.500 0.309
S 0.725 0.500 0.691
S 0.764 0.000 0.303

# 23
Density functional theory data (PBE) for crystalline RbTaGeS5 at its relaxed geometry.

## Properties
* crystal system: triclinic
* formation energy (no corrections): -0.852 eV per atom

Lattice parameters (Å, degrees): 7.060 7.586 9.379 67.41 79.10 73.57
Atoms (fractional coordinates):
Rb 0.085 0.360 0.301
Rb 0.915 0.640 0.699
Ta 0.261 0.973 0.994
Ta 0.739 0.027 0.006
Ge 0.486 0.700 0.372
Ge 0.514 0.300 0.628
S 0.073 0.782 0.968
S 0.200 0.888 0.283
S 0.259 0.160 0.708
S 0.429 0.237 0.995
S 0.445 0.608 0.636
S 0.555 0.392 0.364
S 0.571 0.763 0.005
S 0.741 0.840 0.292
S 0.800 0.112 0.717
S 0.927 0.218 0.032

# 24
Density functional theory data (PBE) for crystalline TaCoRh2 at its relaxed geometry.

## Properties
* crystal system: tetragonal
* energy of formation from the pure elements: 0.1393 eV per atom

Lattice parameters (Å, degrees): 9.169 9.169 9.169 156.51 156.51 33.46
Atoms (fractional coordinates):
Ta 0.000 0.000 0.000
Ta 0.750 0.250 0.500
Co 0.250 0.750 0.500
Co 0.500 0.500 0.000
Rh 0.147 0.625 0.022
Rh 0.375 0.397 0.522
Rh 0.603 0.125 0.978
Rh 0.875 0.853 0.478

# 25
Density functional theory data (PBE) for crystalline Ce4GeBiTe2 at its relaxed geometry.

## Properties
* crystal system: monoclinic
* formation energy (no corrections): -1.072 eV per atom

Lattice parameters (Å, degrees): 7.711 4.457 7.794 90.00 109.37 90.00
Atoms (fractional coordinates):
Ce 0.233 0.000 0.231
Ce 0.243 0.500 0.762
Ce 0.757 0.500 0.238
Ce 0.767 0.000 0.769
Ge 0.000 0.500 0.000
Bi 0.000 0.000 0.500
Te 0.500 0.000 0.000
Te 0.500 0.500 0.500

# 26
Density functional theory data (PBE) for crystalline Cs3Np3CuS8 at its relaxed geometry.

## Properties
* crystal system: monoclinic
* formation energy (no corrections): -1.124 eV per atom

Lattice parameters (Å, degrees): 7.905 7.905 9.054 112.58 112.58 63.86
Atoms (fractional coordinates):
Cs 0.000 0.000 0.000
Cs 0.000 0.500 0.000
Cs 0.500 0.000 0.000
Np 0.000 0.500 0.500
Np 0.500 0.000 0.500
Np 0.500 0.500 0.500
Cu 0.000 0.000 0.500
S 0.192 0.192 0.646
S 0.250 0.687 0.689
S 0.272 0.272 0.317
S 0.313 0.750 0.311
S 0.687 0.250 0.689
S 0.728 0.728 0.683
S 0.750 0.313 0.311
S 0.808 0.808 0.354

In order of appearance, uncorrected energy = -2.378, -7.911, -3.792, -4.359, -3.813, -3.322, -4.548, -1.809, -1.481, -5.677, -3.458, -3.532, -3.970, -0.969, -2.968, -6.970, -3.913, -1.615, -6.279, -2.956, -3.655, -6.371, -5.612, -8.276, -5.886, -6.357 eV per atom.